[1]
This record from Alexandria via LeMat-Bulk describes a geometry-optimized SrLi4CdSn2 structure. The functional is PBE-GGA.

Properties
- DOS(E_F) (states/eV per cell) = 9.8
- uncorrected energy (Ha/atom) = -0.0974
- ΔH_f (0 K) (eV per atom) = -0.3694

The structure in CIF format:
```
data_SrLi4CdSn2
_symmetry_space_group_name_H-M 'R -3 m'
_symmetry_Int_Tables_number 166
_symmetry_space_group_name_Hall '-R 3 2"'
_cell_length_a 4.7773
_cell_length_b 4.7773
_cell_length_c 27.0607
_cell_angle_alpha 90.00
_cell_angle_beta 90.00
_cell_angle_gamma 120.00
loop_
_atom_site_label
_atom_site_type_symbol
_atom_site_fract_x
_atom_site_fract_y
_atom_site_fract_z
_atom_site_occupancy
Sr1 Sr 0.0000 0.0000 0.0000 1
Li1 Li 0.0000 0.0000 0.1319 1
Li2 Li 0.0000 0.0000 0.4031 1
Cd1 Cd 0.0000 0.0000 0.5000 1
Sn1 Sn 0.0000 0.0000 0.2471 1
```


[2]
This record from Alexandria via LeMat-Bulk describes a geometry-optimized LiTbCdSn structure. The functional is PBE-GGA.

Properties
- DOS(E_F) (states/eV per cell) = 1.5
- uncorrected energy (Ha/atom) = -0.1219
- ΔH_f (0 K) (eV per atom) = -0.4502

The structure in CIF format:
```
data_LiTbCdSn
_symmetry_space_group_name_H-M 'P m m m'
_symmetry_Int_Tables_number 47
_cell_length_a 4.255
_cell_length_b 4.573
_cell_length_c 4.872
_cell_angle_alpha 90.00
_cell_angle_beta 90.00
_cell_angle_gamma 90.00
loop_
_symmetry_equiv_pos_as_xyz
'x,y,z'
'-x,-y,-z'
'-x,-y,z'
'x,y,-z'
'x,-y,-z'
'-x,y,z'
'-x,y,-z'
'x,-y,z'
loop_
_atom_site_label
_atom_site_type_symbol
_atom_site_fract_x
_atom_site_fract_y
_atom_site_fract_z
_atom_site_occupancy
Li1 Li 0.000 0.000 0.000 1
Tb1 Tb 0.000 0.500 0.500 1
Cd1 Cd 0.500 0.500 0.000 1
Sn1 Sn 0.500 0.000 0.500 1
```


[3]
This record from Alexandria via LeMat-Bulk describes a geometry-optimized LiTbCdSn structure. The functional is PBE-GGA.

Properties
- DOS(E_F) (states/eV per cell) = 4.8
- uncorrected energy (Ha/atom) = -0.1218
- ΔH_f (0 K) (eV per atom) = -0.4488

The structure in CIF format:
```
data_LiTbCdSn
_symmetry_space_group_name_H-M 'F -4 3 m'
_symmetry_Int_Tables_number 216
_symmetry_space_group_name_Hall 'F -4 2 3'
_cell_length_a 7.238
_cell_length_b 7.238
_cell_length_c 7.238
_cell_angle_alpha 90.00
_cell_angle_beta 90.00
_cell_angle_gamma 90.00
loop_
_atom_site_label
_atom_site_type_symbol
_atom_site_fract_x
_atom_site_fract_y
_atom_site_fract_z
_atom_site_occupancy
Li1 Li 0.000 0.000 0.000 1
Tb1 Tb 0.000 0.000 0.500 1
Cd1 Cd 0.250 0.250 0.750 1
Sn1 Sn 0.250 0.250 0.250 1
```


[4]
This record from Alexandria via LeMat-Bulk describes a geometry-optimized LiCdSn2Te4 structure. The functional is PBE-GGA.

Properties
- DOS(E_F) (states/eV per cell) = 3.1
- uncorrected energy (Ha/atom) = -0.1221
- formation energy from raw total energies (meV/atom) = -397

The structure in CIF format:
```
data_LiCdSn2Te4
_symmetry_space_group_name_H-M 'P 1 2/m 1'
_symmetry_Int_Tables_number 10
_cell_length_a 7.540
_cell_length_b 4.333
_cell_length_c 7.586
_cell_angle_alpha 90.00
_cell_angle_beta 109.43
_cell_angle_gamma 90.00
loop_
_symmetry_equiv_pos_as_xyz
'x,y,z'
'-x,-y,-z'
'-x,y,-z'
'x,-y,z'
loop_
_atom_site_label
_atom_site_type_symbol
_atom_site_fract_x
_atom_site_fract_y
_atom_site_fract_z
_atom_site_occupancy
Li1 Li 0.000 0.000 0.000 1
Cd1 Cd 0.500 0.500 0.000 1
Sn1 Sn 0.000 0.500 0.500 1
Sn2 Sn 0.500 0.000 0.500 1
Te1 Te 0.241 0.500 0.237 1
Te2 Te 0.250 0.000 0.761 1
```


[5]
This record from Alexandria via LeMat-Bulk describes a geometry-optimized LiThCdSn structure. The functional is PBE-GGA.

Properties
- DOS(E_F) (states/eV per cell) = 12.8
- uncorrected energy (Ha/atom) = -0.1398
- ΔH_f (0 K) (eV per atom) = -0.2419

The structure in CIF format:
```
data_LiThCdSn
_symmetry_space_group_name_H-M 'F -4 3 m'
_symmetry_Int_Tables_number 216
_symmetry_space_group_name_Hall 'F -4 2 3'
_cell_length_a 7.415
_cell_length_b 7.415
_cell_length_c 7.415
_cell_angle_alpha 90.00
_cell_angle_beta 90.00
_cell_angle_gamma 90.00
loop_
_atom_site_label
_atom_site_type_symbol
_atom_site_fract_x
_atom_site_fract_y
_atom_site_fract_z
_atom_site_occupancy
Li1 Li 0.000 0.000 0.000 1
Th1 Th 0.000 0.000 0.500 1
Cd1 Cd 0.250 0.250 0.750 1
Sn1 Sn 0.250 0.250 0.250 1
```


[6]
This record from Alexandria via LeMat-Bulk describes a geometry-optimized LiTiCd2Sn structure. The functional is PBE-GGA.

Properties
- DOS(E_F) (states/eV per cell) = 4.6
- uncorrected energy (Ha/atom) = -0.0868
- ΔH_f (0 K) (eV per atom) = 0.7661

The structure in CIF format:
```
data_LiTiCd2Sn
_symmetry_space_group_name_H-M 'P 4/m m m'
_symmetry_Int_Tables_number 123
_symmetry_space_group_name_Hall '-P 4 2'
_cell_length_a 5.327
_cell_length_b 5.327
_cell_length_c 5.025
_cell_angle_alpha 90.00
_cell_angle_beta 90.00
_cell_angle_gamma 90.00
loop_
_atom_site_label
_atom_site_type_symbol
_atom_site_fract_x
_atom_site_fract_y
_atom_site_fract_z
_atom_site_occupancy
Li1 Li 0.000 0.000 0.000 1
Ti1 Ti 0.000 0.000 0.500 1
Cd1 Cd 0.000 0.500 0.500 1
Sn1 Sn 0.500 0.500 0.000 1
```